1.
First-principles (GGA-PBE) data for a relaxed Mg5PdPt2Au2 crystal, as listed in the Alexandria database.

Cell: 2.9891 11.1033 11.1033 Å, 90.00 90.00 90.00°
With the nearest neighbours (Å) after each atom.
Element x y z (fractional)
Mg: 0.5000 0.6276 0.6617  2 Pt 2.65, 2 Pd 2.73, 2 Au 2.86
Mg: 0.5000 0.3724 0.3383  2 Pt 2.65, 2 Pd 2.73, 2 Au 2.86
Mg: 0.5000 0.8383 0.8724  2 Pt 2.65, 2 Pd 2.73, 2 Au 2.86
Mg: 0.5000 0.6617 0.3724  2 Pt 2.65, 2 Pd 2.73, 2 Au 2.86
Mg: 0.5000 0.5000 0.0000  4 Pt 2.67, 4 Au 2.83, 2 Mg 2.99
Mg: 0.5000 0.8724 0.1617  2 Pt 2.65, 2 Pd 2.73, 2 Au 2.86
Mg: 0.5000 0.0000 0.5000  4 Pt 2.67, 4 Au 2.83, 2 Mg 2.99
Mg: 0.5000 0.1617 0.1276  2 Pt 2.65, 2 Pd 2.73, 2 Au 2.86
Mg: 0.5000 0.3383 0.6276  2 Pt 2.65, 2 Pd 2.73, 2 Au 2.86
Mg: 0.5000 0.1276 0.8383  2 Pt 2.65, 2 Pd 2.73, 2 Au 2.86
Au: 0.0000 0.8472 0.6528  6 Mg 2.83-2.86, 2 Au 2.99
Au: 0.0000 0.6528 0.1528  6 Mg 2.83-2.86, 2 Au 2.99
Au: 0.0000 0.3472 0.8472  6 Mg 2.83-2.86, 2 Au 2.99
Au: 0.0000 0.1528 0.3472  6 Mg 2.83-2.86, 2 Au 2.99
Pd: 0.0000 0.5000 0.5000  8 Mg 2.73, 2 Pd 2.99
Pd: 0.0000 0.0000 0.0000  8 Mg 2.73, 2 Pd 2.99
Pt: 0.0000 0.1412 0.6412  6 Mg 2.65-2.67
Pt: 0.0000 0.8588 0.3588  6 Mg 2.65-2.67
Pt: 0.0000 0.3588 0.1412  6 Mg 2.65-2.67
Pt: 0.0000 0.6412 0.8588  6 Mg 2.65-2.67

Results
Symmetry   P4/mbm, No. 127
DFT formation energy   -542 kJ/mol of formula units
Total DFT energy (no corrections)   -3.742 eV/atom


2.
First-principles (GGA-PBE) data for a relaxed LaTlSb2 crystal, as listed in the Alexandria database.

Cell: 4.3257 4.3105 7.9964 Å, 57.34 90.00 90.00°
With the nearest neighbours (Å) after each atom.
Element x y z (fractional)
La: 0.5000 0.7500 0.7500  2 Tl 3.37, 8 Sb 3.39-3.40
Tl: 0.5000 0.2500 0.2500  2 La 3.37, 8 Sb 3.59
Sb: 0.0000 0.4704 0.5296  1 Sb 2.97
Sb: 0.0000 0.0296 0.9704  1 Sb 2.97

Results
Symmetry   Pmmm, No. 47
E above lowest polymorph   0.030 eV/atom
Total DFT energy (no corrections)   -4.463 eV/atom
Uncorrected formation energy   -0.58 eV/atom


3.
First-principles (GGA-PBE) data for a relaxed Tb6Nd6Sm crystal, as listed in the Alexandria database.

Cell: 6.7486 6.7486 11.4953 Å, 90.00 90.00 120.00°
With the nearest neighbours (Å) after each atom.
Element x y z (fractional)
Sm: 0.0000 0.0000 0.0000  8 Nd 3.90-4.00
Nd: 0.0000 0.0000 0.6521  1 Nd 3.50, 6 Tb 3.56
Nd: 0.6666 0.3334 0.0000  6 Tb 3.46
Nd: 0.3334 0.6666 0.0000  6 Tb 3.46
Nd: 0.0000 0.0000 0.3479  1 Nd 3.50, 6 Tb 3.56
Nd: 0.6667 0.3333 0.5000  6 Tb 3.49, 3 Nd 3.90
Nd: 0.3333 0.6667 0.5000  6 Tb 3.49, 3 Nd 3.90
Tb: 0.5000 0.5000 0.2484  4 Tb 3.37, 6 Nd 3.46-3.56
Tb: 0.5000 0.0000 0.7517  4 Tb 3.37, 6 Nd 3.46-3.56
Tb: 0.5000 0.5000 0.7516  4 Tb 3.37, 6 Nd 3.46-3.56
Tb: 0.0000 0.5000 0.7517  4 Tb 3.37, 6 Nd 3.46-3.56
Tb: 0.5000 0.0000 0.2483  4 Tb 3.37, 6 Nd 3.46-3.56
Tb: 0.0000 0.5000 0.2483  4 Tb 3.37, 6 Nd 3.46-3.56

Results
Symmetry   P6/mmm, No. 191
DFT formation energy   328 kJ/mol of formula units
Total DFT energy (no corrections)   -4.439 eV/atom


4.
First-principles (GGA-PBE) data for a relaxed Sc7Co6 crystal, as listed in the Alexandria database.

Cell: 8.9898 8.9898 8.9898 Å, 37.31 37.31 37.31°
With the nearest neighbours (Å) after each atom.
Element x y z (fractional)
Sc: 0.4250 0.4250 0.9311  2 Co 2.43-2.51
Sc: 0.4250 0.9311 0.4250  2 Co 2.43-2.51
Sc: 0.5750 0.5750 0.0689  2 Co 2.43-2.51
Sc: 0.0689 0.5750 0.5750  2 Co 2.43-2.51
Sc: 0.5000 0.5000 0.5000  6 Sc 2.89
Sc: 0.5750 0.0689 0.5750  2 Co 2.43-2.51
Sc: 0.9311 0.4250 0.4250  2 Co 2.43-2.51
Co: 0.0489 0.0489 0.0489  2 Co 2.28-2.45
Co: 0.6679 0.6679 0.6679  6 Sc 2.43-2.51
Co: 0.8603 0.8603 0.8603  1 Co 2.28
Co: 0.1397 0.1397 0.1397  1 Co 2.28
Co: 0.3321 0.3321 0.3321  6 Sc 2.43-2.51
Co: 0.9511 0.9511 0.9511  2 Co 2.28-2.45

Results
Symmetry   R-3m, No. 166
DFT formation energy   577 kJ/mol of formula units
Total DFT energy (no corrections)   -6.229 eV/atom


5.
First-principles (GGA-PBE) data for a relaxed HfMnS2N crystal, as listed in the Alexandria database.

Cell: 4.9933 4.9933 4.0592 Å, 90.00 90.00 90.00°
With the nearest neighbours (Å) after each atom.
Element x y z (fractional)
S: 0.0000 0.5000 0.0000  2 Hf 2.50
S: 0.5000 0.0000 0.0000  2 Hf 2.50
N: 0.0000 0.0000 0.5000  2 Hf 2.03
Mn: 0.5000 0.5000 0.5000  8 S 3.22, 4 N 3.53
Hf: 0.0000 0.0000 0.0000  2 N 2.03

Results
Symmetry   P4/mmm, No. 123
E above lowest polymorph   0.104 eV/atom
Total DFT energy (no corrections)   -7.260 eV/atom
Uncorrected formation energy   -0.12 eV/atom


6.
First-principles (GGA-PBE) data for a relaxed CuC3 crystal, as listed in the Alexandria database.

Cell: 9.4690 9.4690 2.4968 Å, 90.00 90.00 154.37°
With the nearest neighbours (Å) after each atom.
Element x y z (fractional)
C: 0.0174 0.9826 0.2500  2 C 1.40
C: 0.9826 0.0174 0.7500  2 C 1.40
C: 0.0819 0.5818 0.2500  3 C 1.41-1.43
C: 0.9181 0.4182 0.7500  3 C 1.41-1.43
C: 0.5818 0.0819 0.7500  3 C 1.41-1.43
C: 0.4182 0.9181 0.2500  3 C 1.41-1.43
Cu: 0.5580 0.4420 0.2500  2 C 2.23, 4 Cu 2.48-2.50
Cu: 0.4420 0.5580 0.7500  2 C 2.23, 4 Cu 2.48-2.50

Results
Symmetry   Cmcm, No. 63
DFT formation energy   232 kJ/mol of formula units
E above lowest polymorph   0.000 eV/atom
Total DFT energy (no corrections)   -7.341 eV/atom


7.
First-principles (GGA-PBE) data for a relaxed BaNbAg2S4 crystal, as listed in the Alexandria database.

Cell: 6.7008 6.4565 6.4565 Å, 79.53 58.74 58.74°
With the nearest neighbours (Å) after each atom.
Element x y z (fractional)
S: 0.4952 0.1425 0.4778  1 Nb 2.36, 1 Ag 2.48
S: 0.8844 0.4778 0.1425  1 Nb 2.36, 1 Ag 2.48
S: 0.5048 0.5222 0.8575  1 Nb 2.36, 1 Ag 2.48
S: 0.1156 0.8575 0.5222  1 Nb 2.36, 1 Ag 2.48
Ag: 0.0000 0.6807 0.3193  2 S 2.48
Ag: 0.0000 0.3193 0.6807  2 S 2.48
Nb: 0.5000 0.5000 0.5000  4 S 2.36
Ba: 0.5000 0.0000 0.0000  8 S 3.34-3.36

Results
Symmetry   I222, No. 23
Total DFT energy (no corrections)   -5.115 eV/atom
Uncorrected formation energy   -0.84 eV/atom


8.
First-principles (GGA-PBE) data for a relaxed Be2Rh crystal, as listed in the Alexandria database.

Cell: 10.8000 10.8000 10.8000 Å, 161.79 161.79 25.86°
With the nearest neighbours (Å) after each atom.
Element x y z (fractional)
Be: 0.4110 0.4110 0.0000  6 Be 2.28-2.56, 6 Rh 2.45-2.56
Be: 0.4987 0.9987 0.5000  4 Rh 2.25-2.28, 6 Be 2.42-2.52
Be: 0.2487 0.2487 0.0000  4 Rh 2.25-2.28, 6 Be 2.42-2.52
Be: 0.8390 0.3390 0.5000  6 Be 2.28-2.56, 6 Rh 2.45-2.56
Be: 0.5890 0.5890 0.0000  6 Be 2.28-2.56, 6 Rh 2.45-2.56
Be: 0.6610 0.1610 0.5000  6 Be 2.28-2.56, 6 Rh 2.45-2.56
Be: 0.0013 0.5013 0.5000  4 Rh 2.25-2.28, 6 Be 2.42-2.52
Be: 0.7513 0.7513 0.0000  4 Rh 2.25-2.28, 6 Be 2.42-2.52
Rh: 0.3207 0.8207 0.5000  8 Be 2.25-2.45
Rh: 0.1793 0.6793 0.5000  8 Be 2.25-2.45
Rh: 0.9293 0.9293 0.0000  8 Be 2.25-2.45
Rh: 0.0707 0.0707 0.0000  8 Be 2.25-2.45

Results
Symmetry   I4_1/amd, No. 141
DFT formation energy   -144 kJ/mol of formula units
Total DFT energy (no corrections)   -5.431 eV/atom